A geometry-optimized Li7ZnAg3 structure. Source: Alexandria via LeMat-Bulk, functional PBE. Values from VASP.

Output
The final energy is -2.248 eV/atom. The crystal system is orthorhombic. The calculation puts the formation energy at -0.14 eV per atom. The density of states at the Fermi level is 5.12 states/eV/cell.

Cell and atoms, written as Quantum ESPRESSO input:
```
&SYSTEM
  ibrav = 0, nat = 22, ntyp = 3
/
ATOMIC_SPECIES
Ag 107.87 Ag.upf
Li 6.94 Li.upf
Zn 65.41 Zn.upf
CELL_PARAMETERS angstrom
2.922 0.000 0.000
-1.461 10.608 0.000
0.000 0.000 12.432
ATOMIC_POSITIONS angstrom
Ag 0.000 3.286 0.733
Ag 0.000 3.286 5.483
Ag 1.461 7.273 3.108
Ag 0.000 3.335 9.324
Ag 1.461 7.322 6.949
Ag 1.461 7.322 11.699
Li 1.461 1.127 4.566
Li 1.461 4.680 7.435
Li 0.000 8.799 5.081
Li 1.461 1.808 7.351
Li 0.000 9.481 7.866
Li 0.000 8.799 1.135
Li 1.461 3.929 3.108
Li 1.461 4.680 11.213
Li 1.461 1.808 11.297
Li 1.461 1.127 1.650
Li 0.000 5.928 4.997
Li 0.000 6.678 9.324
Li 0.000 5.928 1.219
Li 0.000 9.481 10.782
Zn 0.000 0.640 9.324
Zn 1.461 9.967 3.108
```